Entry 1:
A relaxed structure of Pu6Ge2Ru, computed with PBE.

abc: 3.458 7.096 8.440
angles: 114.86 90.00 90.00
Positions (direct):
Ru (0.500, 0.964, 0.000)
Pu (0.500, 0.973, 0.616)
Pu (0.000, 0.067, 0.292)
Pu (0.500, 0.569, 0.000)
Pu (0.000, 0.775, 0.708)
Ge (0.000, 0.669, 0.328)
Pu (0.000, 0.285, 0.000)
Pu (0.500, 0.357, 0.384)
Ge (0.000, 0.341, 0.672)

Values from the calculation:
For the total energy, the calculation gives -11.828 eV/atom. The value obtained for the volume is 20.88 Å³/atom. For the calculated density, the calculation gives 15.12 g/cm3.

---

Entry 2:
A relaxed structure of Rb2MnRu, computed with PBE.

abc: 6.016 6.016 6.016
angles: 60.00 60.00 60.00
Positions (direct):
Mn (0.000, 0.000, 0.000)
Rb (0.250, 0.250, 0.250)
Rb (0.750, 0.750, 0.750)
Ru (0.500, 0.500, 0.500)

Values from the calculation:
For the total energy, the calculation gives -3.363 eV/atom. The value obtained for the volume is 38.49 Å³/atom. For the calculated density, the calculation gives 3.53 g/cm3.

---

Entry 3:
A relaxed structure of RbLi2PbF8, computed with PBE.

abc: 4.873 4.869 8.120
angles: 87.05 91.20 88.25
Positions (direct):
Pb (0.000, 0.000, 0.000)
Li (0.508, 0.521, 0.812)
F (0.461, 0.351, 0.425)
F (0.188, 0.786, 0.813)
F (0.682, 0.711, 0.003)
Li (0.492, 0.479, 0.188)
Rb (0.000, 0.000, 0.500)
F (0.539, 0.649, 0.575)
F (0.812, 0.214, 0.187)
F (0.318, 0.289, 0.997)
F (0.201, 0.770, 0.196)
F (0.799, 0.230, 0.804)

Values from the calculation:
Its uncorrected formation energy is -27.374 eV/f.u. The value obtained for the volume is 16.02 Å³/atom. For the calculated density, the calculation gives 3.96 g/cm3.

---

Entry 4:
A relaxed structure of SrGa3Ag, computed with PBE.

abc: 5.081 5.081 5.081
angles: 90.00 90.00 90.00
Positions (direct):
Sr (0.500, 0.500, 0.500)
Ga (0.000, 0.000, 0.500)
Ga (0.500, 0.000, 0.000)
Ga (0.000, 0.500, 0.000)
Ag (0.000, 0.000, 0.000)

Values from the calculation:
For the total energy, the calculation gives -2.708 eV/atom. The value obtained for the volume is 26.24 Å³/atom. For the calculated density, the calculation gives 5.12 g/cm3.

---

Entry 5:
A relaxed structure of V2AgHgTe, computed with PBE.

abc: 5.150 5.093 5.150
angles: 90.00 90.00 90.00
Positions (direct):
V (0.500, 0.000, 0.000)
V (0.000, 0.000, 0.500)
Hg (0.000, 0.000, 0.000)
Te (0.500, 0.500, 0.500)
Ag (0.000, 0.500, 0.000)

Values from the calculation:
Its uncorrected formation energy is 5.673 eV/f.u. The value obtained for the volume is 27.01 Å³/atom. For the calculated density, the calculation gives 6.61 g/cm3.